Entry 1:
5
Lattice="4.8624 0.0000 0.0000 0.0000 4.8624 0.0000 0.0000 0.0000 4.8624" Properties=species:S:1:pos:R:3 comment="PBE-GGA Ta3ReAs, optimized geometry" sg="No. 221" polymorph_energy_ev_per_atom=0.053 total_magnetization_mub_per_fu=0.0 pbc="T T T"
As 2.4312 2.4312 2.4312
Ta 0.0000 2.4312 0.0000
Ta 2.4312 0.0000 0.0000
Re 0.0000 0.0000 0.0000
Ta 0.0000 0.0000 2.4312


Entry 2:
4
Lattice="-0.4356 -3.6083 1.8872 -1.4438 -3.2291 -2.0638 2.4909 -3.1134 -0.9344" Properties=species:S:1:pos:R:3 comment="PBE-GGA BeGaNiPd, optimized geometry" sg="No. 216" energy_ev_per_cell=-19.4 total_magnetization_mub_per_fu=0.0 pbc="T T T"
Pd 0.4586 -7.4631 -0.8333
Ni 0.1529 -2.4877 -0.2778
Ga 0.3057 -4.9754 -0.5555
Be 0.0000 0.0000 0.0000


Entry 3:
10
Lattice="-1.9117 2.7483 5.9716 -0.5296 -6.2631 2.7129 3.8599 0.1741 1.1555" Properties=species:S:1:pos:R:3 comment="PBE-GGA InAg2Pd2, optimized geometry" sg="No. 127" polymorph_energy_ev_per_atom=0.065 total_magnetization_mub_per_fu=0.0 pbc="T T T"
Ag 0.1388 0.2586 6.5349
In -1.2206 -1.7574 4.3422
In 0.0000 0.0000 0.0000
Ag 1.1923 0.0388 3.0492
Pd -1.1457 -4.3997 4.4899
Ag 1.2798 -3.5993 3.3050
Pd -1.2956 0.8849 4.1946
Pd -0.4572 -1.8773 1.8100
Pd -1.9841 -1.6376 6.8744
Ag 0.2263 -3.3795 6.7908


Entry 4:
8
Lattice="4.7125 0.0000 0.0000 0.0000 4.7125 0.0000 0.0000 0.0000 4.7125" Properties=species:S:1:pos:R:3 comment="PBE-GGA Cr3W, optimized geometry" sg="No. 223" energy_ev_per_cell=-82.3 total_magnetization_mub_per_fu=0.0 pbc="T T T"
Cr 2.3562 0.0000 1.1781
W 2.3562 2.3562 2.3562
Cr 0.0000 1.1781 2.3562
Cr 0.0000 3.5343 2.3562
Cr 1.1781 2.3562 0.0000
W 0.0000 0.0000 0.0000
Cr 2.3562 0.0000 3.5343
Cr 3.5343 2.3562 0.0000


Entry 5:
3
Lattice="4.8809 -0.0201 0.0000 2.4879 4.1992 0.0000 -3.6844 -2.0896 2.4253" Properties=species:S:1:pos:R:3 comment="PBE-GGA Pt2Au, optimized geometry" sg="No. 139" polymorph_energy_ev_per_atom=0.077 total_magnetization_mub_per_fu=0.0 pbc="T T T"
Pt 2.4318 1.3792 0.0000
Au 0.0000 0.0000 0.0000
Pt 4.9370 2.8000 0.0000


Entry 6:
5
Lattice="3.7085 0.0000 0.0000 0.0000 3.7085 0.0000 0.0000 0.0000 4.8183" Properties=species:S:1:pos:R:3 comment="PBE-GGA LiMnTeN2, optimized geometry" sg="No. 123" polymorph_energy_ev_per_atom=1.559 formation_energy_uncorrected_ev_per_atom=1.899 total_magnetization_mub_per_fu=0.5 pbc="T T T"
Li 0.0000 0.0000 0.0000
Te 0.0000 0.0000 2.4092
N 0.0000 1.8543 0.0000
Mn 1.8543 1.8543 2.4092
N 1.8543 0.0000 0.0000


Entry 7:
8
Lattice="7.7814 0.0000 0.0000 0.0000 7.7814 0.0000 3.8907 3.8907 2.7034" Properties=species:S:1:pos:R:3 comment="PBE-GGA CaIrW2, optimized geometry" sg="No. 122" polymorph_energy_ev_per_atom=0.547 total_magnetization_mub_per_fu=0.0 pbc="T T T"
W 5.8361 5.3541 2.0276
W 1.4634 5.8361 0.6759
Ca 3.8907 7.7814 1.3517
Ir 0.0000 0.0000 0.0000
Ir 7.7814 3.8907 1.3517
Ca 3.8907 3.8907 0.0000
W 9.7268 10.2087 2.0276
W 6.3180 1.9454 0.6759


Entry 8:
10
Lattice="-4.6938 3.6478 0.1861 -1.2033 -1.8606 6.1213 3.9035 5.0815 -1.1499" Properties=species:S:1:pos:R:3 comment="PBE-GGA AcTaGe3, optimized geometry" sg="No. 194" polymorph_energy_ev_per_atom=0.000 total_magnetization_mub_per_fu=0.0 pbc="T T T"
Ac -0.6745 1.3653 3.7441
Ge -2.1291 4.3110 4.3535
Ac -1.3191 5.5033 1.4135
Ge 1.7178 4.6174 0.3379
Ta -2.3469 1.8239 0.0931
Ge -3.2236 3.0054 2.3384
Ge 1.2300 3.8632 2.8192
Ta 0.0000 0.0000 0.0000
Ge 0.1355 2.5576 0.8040
Ge -3.7113 2.2512 4.8196